# KSrGdWO6 | Alexandria | PBE+U | optimized geometry
data_KSrGdWO6
_chemical_formula_sum 'K1 Sr1 Gd1 W1 O6'
_cell_length_a 5.973
_cell_length_b 5.973
_cell_length_c 5.973
_cell_angle_alpha 60.00
_cell_angle_beta 60.00
_cell_angle_gamma 60.00
_symmetry_space_group_name_H-M 'P 1'
_symmetry_Int_Tables_number 1
_symmetry_space_group_name_Hall 'P 1'
loop_
_atom_site_label
_atom_site_fract_x
_atom_site_fract_y
_atom_site_fract_z
K1 0.000 0.000 0.000
Sr1 0.500 0.500 0.500
Gd1 0.750 0.750 0.750
W1 0.250 0.250 0.250
O1 0.019 0.019 0.481
O2 0.019 0.481 0.019
O3 0.019 0.481 0.481
O4 0.481 0.019 0.019
O5 0.481 0.019 0.481
O6 0.481 0.481 0.019
# * final energy: -8.0070 eV per atom
# * volume: 150.67 Å³/cell